DFT (PBE) results for an optimized crystal structure of AsAuBr.

```
AsAuBr
1.0
-6.772 1.368 3.759
-4.475 -0.916 5.745
-0.482 3.688 0.773
As Au Br
1 1 1
direct
0.042 0.042 0.958
0.662 0.662 0.338
0.296 0.296 0.704
```

Calculated values
As for the raw formation energy: 0.1493 eV per atom. The value obtained for the energy relative to the lowest polymorph listed for this composition is 0.277 eV/atom. The calculation puts the calculated total energy at -3.051 eV/atom.